Here is a geometry-optimized Ac3TlPd8Pb2 structure from the Alexandria database. Energies are from PBE.

Output
Its energy of formation is -7.3 eV/f.u. The calculation puts the raw total energy at -5.0676 eV per atom.

```
data_Ac3TlPd8Pb2
_symmetry_space_group_name_H-M 'P 1'
_symmetry_Int_Tables_number 1
_symmetry_space_group_name_Hall 'P 1'
_cell_length_a 5.739
_cell_length_b 5.739
_cell_length_c 11.251
_cell_angle_alpha 90.00
_cell_angle_beta 90.00
_cell_angle_gamma 120.00
loop_
_atom_site_label
_atom_site_fract_x
_atom_site_fract_y
_atom_site_fract_z
Ac1 0.000 0.000 0.000
Ac2 0.333 0.667 0.596
Ac3 0.667 0.333 0.404
Tl1 0.000 0.000 0.500
Pd1 0.164 0.329 0.294
Pd2 0.164 0.836 0.294
Pd3 0.329 0.164 0.706
Pd4 0.333 0.667 0.856
Pd5 0.667 0.333 0.144
Pd6 0.671 0.836 0.294
Pd7 0.836 0.164 0.706
Pd8 0.836 0.671 0.706
Pb1 0.333 0.667 0.101
Pb2 0.667 0.333 0.899
```